{
  "formula": "Pa4Ga12Os",
  "functional": "GGA-PBE",
  "state": "optimized geometry",
  "spacegroup": "No. 229",
  "e_tot_ev_per_cell": -92.44,
  "cell": [[-3.042, -6.424, 2.236], [-2.282, 5.514, 4.461], [-2.102, 1.439, -7.002]],
  "species": ["Ga", "Ga", "Ga", "Ga", "Ga", "Ga", "Ga", "Ga", "Ga", "Ga", "Ga", "Ga", "Os", "Pa", "Pa", "Pa", "Pa"],
  "fractional_positions": [[0.295, 0.295, 0.000], [0.705, 0.705, 0.000], [0.750, 0.500, 0.250], [0.500, 0.750, 0.250], [0.295, 0.000, 0.295], [0.000, 0.295, 0.295], [0.750, 0.250, 0.500], [0.250, 0.750, 0.500], [0.705, 0.000, 0.705], [0.000, 0.705, 0.705], [0.500, 0.250, 0.750], [0.250, 0.500, 0.750], [0.000, 0.000, 0.000], [0.500, 0.000, 0.000], [0.000, 0.500, 0.000], [0.000, 0.000, 0.500], [0.500, 0.500, 0.500]]
}